(1)
NaSm2ErSe4 PBE relaxed; formation energy without anion corrections = -1736 meV per atom; uncorrected energy = -43.1 eV per cell
1.0
7.178 0.000 0.000
0.000 4.117 0.000
-2.343 0.000 6.796
Na Sm Er Se
1 2 1 4
Cartesian
0.000 0.000 0.000
-1.172 2.059 3.398
2.418 0.000 3.398
3.589 2.059 0.000
1.245 2.059 1.666
0.054 0.000 5.168
4.781 0.000 1.628
3.590 2.059 5.129


(2)
NaSm2Er3Se6 PBE relaxed; formation energy without anion corrections = -1748 meV per atom; uncorrected energy = -66.3 eV per cell
1.0
8.997 -2.039 0.000
8.997 2.039 0.000
-1.983 0.000 8.042
Na Sm Er Se
1 2 3 6
Cartesian
0.000 0.000 0.000
4.618 0.000 5.272
11.392 0.000 2.770
-0.991 0.000 4.021
5.666 0.000 1.388
10.345 0.000 6.654
1.735 0.000 4.755
2.885 0.000 0.610
8.470 0.000 2.058
7.541 0.000 5.984
13.125 0.000 7.432
14.276 0.000 3.287


(3)
Na4Er3SnSe8 PBE relaxed; formation energy without anion corrections = -1445 meV per atom; uncorrected energy = -74.0 eV per cell
1.0
4.124 2.381 7.004
-4.124 2.381 7.004
0.000 -4.762 7.004
Na Er Sn Se
4 3 1 8
Cartesian
0.000 0.000 0.000
-2.062 -1.191 7.004
-2.062 1.191 14.007
0.000 2.381 7.004
-4.124 0.000 10.505
-2.062 1.191 3.502
2.062 1.191 3.502
0.000 0.000 10.505
-2.071 -1.196 12.096
0.000 0.000 5.096
0.000 -2.392 8.915
-2.071 1.196 8.915
2.071 -1.196 12.096
0.000 2.392 12.096
0.000 0.000 15.915
2.071 1.196 8.915


(4)
Na3Er2SnSe6 PBE relaxed; formation energy without anion corrections = -1348 meV per atom; uncorrected energy = -54.2 eV per cell
1.0
3.578 -6.197 0.000
3.578 6.197 0.000
-2.393 0.000 6.993
Na Er Sn Se
3 2 1 6
Cartesian
0.000 0.000 0.000
3.578 2.026 0.000
3.578 -2.026 0.000
2.382 4.127 3.497
2.382 -4.127 3.497
2.382 0.000 3.497
1.179 2.080 1.901
-0.025 0.000 5.086
1.179 -2.080 1.901
3.584 2.080 5.092
4.788 0.000 1.907
3.584 -2.080 5.092


(5)
NaSr4Er3Se8 PBE relaxed; formation energy without anion corrections = -1857 meV per atom; uncorrected energy = -79.3 eV per cell
1.0
4.238 2.447 6.980
-4.238 2.447 6.980
0.000 -4.893 6.980
Na Sr Er Se
1 4 3 8
Cartesian
0.000 0.000 0.000
-4.238 0.000 10.469
-2.119 1.223 3.490
2.119 1.223 3.490
0.000 0.000 10.469
-2.119 -1.223 6.980
-2.119 1.223 13.959
0.000 2.447 6.980
0.000 -2.391 8.572
-2.071 1.196 8.572
0.000 0.000 5.395
-2.071 -1.196 12.367
2.071 1.196 8.572
0.000 0.000 15.544
2.071 -1.196 12.367
0.000 2.391 12.367


(6)
NaTb2Er3Se6 PBE relaxed; formation energy without anion corrections = -1730 meV per atom; uncorrected energy = -65.9 eV per cell
1.0
8.912 -2.029 0.000
8.912 2.029 0.000
-1.918 0.000 7.977
Na Tb Er Se
1 2 3 6
Cartesian
0.000 0.000 0.000
4.616 0.000 5.235
11.289 0.000 2.743
-0.959 0.000 3.989
5.634 0.000 1.386
10.271 0.000 6.591
1.785 0.000 4.684
2.853 0.000 0.639
7.471 0.000 5.944
8.434 0.000 2.034
13.053 0.000 7.338
14.120 0.000 3.293